## Li2BeCo (PBE)

Data for a geometry-optimized Li2BeCo structure.

abc: 4.9287 4.9287 4.9287
angles: 150.21 133.47 56.24
Closest atoms and distances in Å follow each position.
Atoms (fractional coordinates):
Li  0.2350  0.2350  0.0000  6 Li 2.34-2.53, 2 Be 2.40
Li  0.7650  0.7650  0.0000  6 Li 2.34-2.53, 2 Be 2.40
Be  0.0000  0.5000  0.5000  4 Co 2.32, 4 Li 2.40, 2 Be 2.53
Co  0.5000  0.0000  0.5000  4 Be 2.32, 2 Co 2.53

The calculation puts the calculated formation energy at 0.5 eV/f.u. As for the calculated density: 3.2 Mg/m³. As for the total magnetization: 0.73 μB/f.u. For the final energy, the calculation gives -3.54 eV/atom. Its space-group type is Immm, No. 71.

## LiBe2Co (PBE)

Data for a geometry-optimized LiBe2Co structure.

abc: 2.6556 2.6556 5.6796
angles: 90.00 90.00 90.00
Closest atoms and distances in Å follow each position.
Atoms (fractional coordinates):
Li  0.0000  0.0000  0.0000  8 Be 2.54, 4 Li 2.66, 2 Co 2.84
Be  0.5000  0.5000  0.3015  4 Co 2.19, 1 Be 2.26
Be  0.5000  0.5000  0.6985  4 Co 2.19, 1 Be 2.26
Co  0.0000  0.0000  0.5000  8 Be 2.19

The calculation puts the calculated formation energy at -0.5 eV/f.u. As for the calculated density: 3.5 Mg/m³. As for the total magnetization: 0.00 μB/f.u. For the final energy, the calculation gives -4.24 eV/atom. Its space-group type is P4/mmm, No. 123.

## LiBeCo2 (PBE)

Data for a geometry-optimized LiBeCo2 structure.

abc: 2.4088 2.4088 8.1786
angles: 90.00 90.00 113.57
Closest atoms and distances in Å follow each position.
Atoms (fractional coordinates):
Li  0.0000  0.0000  0.0000  6 Li 2.41-2.64, 2 Co 2.54, 2 Be 2.55
Be  0.5000  0.5000  0.2670  2 Co 2.25, 4 Be 2.41
Co  0.0000  0.0000  0.4891  2 Be 2.25, 6 Co 2.40-2.41
Co  0.5000  0.5000  0.7348  8 Co 2.40-2.64, 2 Li 2.54

The calculation puts the calculated formation energy at 0.5 eV/f.u. As for the calculated density: 5.1 Mg/m³. As for the total magnetization: 3.00 μB/f.u. For the final energy, the calculation gives -4.85 eV/atom. Its space-group type is Cmm2, No. 35.

## LiBeCo2 (PBE)

Data for a geometry-optimized LiBeCo2 structure.

abc: 2.3847 3.8630 4.5368
angles: 90.00 101.08 90.00
Closest atoms and distances in Å follow each position.
Atoms (fractional coordinates):
Li  0.0000  0.0000  0.0000  2 Be 2.35, 4 Co 2.35-2.43, 2 Li 2.38
Be  0.7738  0.5000  0.2474  4 Co 2.25-2.45, 2 Li 2.35, 2 Be 2.38
Co  0.2510  0.5000  0.7256  2 Be 2.25-2.45, 4 Co 2.36-2.38, 2 Li 2.43
Co  0.5319  0.0000  0.4938  2 Li 2.35, 4 Co 2.36-2.38, 2 Be 2.36

The calculation puts the calculated formation energy at 0.4 eV/f.u. As for the calculated density: 5.4 Mg/m³. As for the total magnetization: 2.51 μB/f.u. For the final energy, the calculation gives -4.87 eV/atom. Its space-group type is Pm, No. 6.

## Li2BeCo (PBE)

Data for a geometry-optimized Li2BeCo structure.

abc: 2.3668 2.3668 8.2449
angles: 90.00 90.00 90.00
Closest atoms and distances in Å follow each position.
Atoms (fractional coordinates):
Li  0.0000  0.0000  0.2489  4 Li 2.37, 4 Be 2.65
Li  0.0000  0.0000  0.7511  4 Li 2.37, 4 Be 2.65
Be  0.5000  0.5000  0.0000  4 Be 2.37, 8 Li 2.65
Co  0.5000  0.5000  0.5000  4 Co 2.37

The calculation puts the calculated formation energy at 1.1 eV/f.u. As for the calculated density: 2.9 Mg/m³. As for the total magnetization: 1.34 μB/f.u. For the final energy, the calculation gives -3.40 eV/atom. Its space-group type is P4/mmm, No. 123.

## Li2BeCo (PBE)

Data for a geometry-optimized Li2BeCo structure.

abc: 2.6293 3.8076 4.2614
angles: 90.00 90.00 90.00
Closest atoms and distances in Å follow each position.
Atoms (fractional coordinates):
Li  0.0000  0.0000  0.0000  4 Li 2.31, 4 Co 2.50
Li  0.5000  0.5000  0.0000  4 Li 2.31, 4 Be 2.50
Be  0.0000  0.5000  0.5000  4 Co 2.31, 4 Li 2.50
Co  0.5000  0.0000  0.5000  4 Be 2.31, 4 Li 2.50

The calculation puts the calculated formation energy at 0.5 eV/f.u. As for the calculated density: 3.2 Mg/m³. As for the total magnetization: 0.52 μB/f.u. For the final energy, the calculation gives -3.54 eV/atom. Its space-group type is Pmmm, No. 47.

## LiBeCo2 (PBE)

Data for a geometry-optimized LiBeCo2 structure.

abc: 8.4644 8.4644 8.4644
angles: 157.32 157.32 32.29
Closest atoms and distances in Å follow each position.
Atoms (fractional coordinates):
Li  0.0000  0.0000  0.0000  4 Be 2.35, 4 Co 2.36
Li  0.7500  0.2500  0.5000  4 Be 2.35, 4 Co 2.36
Be  0.2500  0.7500  0.5000  4 Co 2.33, 4 Li 2.35
Be  0.5000  0.5000  0.0000  4 Co 2.33, 4 Li 2.35
Co  0.1380  0.1250  0.5130  4 Co 2.29-2.42, 2 Be 2.33, 2 Li 2.36
Co  0.3750  0.8620  0.9870  4 Co 2.29-2.42, 2 Be 2.33, 2 Li 2.36
Co  0.6120  0.6250  0.4870  4 Co 2.29-2.42, 2 Be 2.33, 2 Li 2.36
Co  0.8750  0.3880  0.0130  4 Co 2.29-2.42, 2 Be 2.33, 2 Li 2.36

The calculation puts the calculated formation energy at 1.6 eV/f.u. As for the calculated density: 4.9 Mg/m³. As for the total magnetization: 2.95 μB/f.u. For the final energy, the calculation gives -4.55 eV/atom. Its space-group type is I-42d, No. 122.

## LiBe2Co (PBE)

Data for a geometry-optimized LiBe2Co structure.

abc: 2.3301 2.3301 7.7726
angles: 90.00 90.00 108.50
Closest atoms and distances in Å follow each position.
Atoms (fractional coordinates):
Li  0.0000  0.0000  0.0000  4 Li 2.33, 2 Co 2.51, 2 Be 2.54
Be  0.0000  0.0000  0.5014  6 Be 2.22-2.33, 2 Co 2.23
Be  0.5000  0.5000  0.2753  6 Be 2.22-2.33
Co  0.5000  0.5000  0.7281  2 Be 2.23, 4 Co 2.33

The calculation puts the calculated formation energy at 0.4 eV/f.u. As for the calculated density: 3.5 Mg/m³. As for the total magnetization: 1.23 μB/f.u. For the final energy, the calculation gives -4.01 eV/atom. Its space-group type is Cmm2, No. 35.

## LiBeCo2 (PBE)

Data for a geometry-optimized LiBeCo2 structure.

abc: 8.0795 8.0795 8.0795
angles: 17.39 17.39 17.39
Closest atoms and distances in Å follow each position.
Atoms (fractional coordinates):
Li  0.0000  0.0000  0.0000  6 Li 2.44, 6 Co 2.60
Be  0.5000  0.5000  0.5000  6 Co 2.28, 6 Be 2.44
Co  0.2418  0.2418  0.2418  3 Be 2.28, 6 Co 2.44
Co  0.7582  0.7582  0.7582  3 Be 2.28, 6 Co 2.44

The calculation puts the calculated formation energy at 0.1 eV/f.u. As for the calculated density: 5.4 Mg/m³. As for the total magnetization: 1.79 μB/f.u. For the final energy, the calculation gives -4.95 eV/atom. Its space-group type is R-3m, No. 166.

## Li2BeCo (PBE)

Data for a geometry-optimized Li2BeCo structure.

abc: 4.9842 4.9842 4.9842
angles: 151.26 127.74 60.73
Closest atoms and distances in Å follow each position.
Atoms (fractional coordinates):
Li  0.0000  0.0000  0.0000  4 Li 2.47-2.64, 4 Be 2.53, 2 Co 2.63
Li  0.7285  0.2285  0.5000  4 Li 2.47-2.64, 2 Be 2.51, 4 Co 2.55
Be  0.4748  0.4748  0.0000  2 Co 2.15
Co  0.2704  0.7704  0.5000  2 Be 2.15

The calculation puts the calculated formation energy at 0.9 eV/f.u. As for the calculated density: 2.9 Mg/m³. As for the total magnetization: 0.83 μB/f.u. For the final energy, the calculation gives -3.45 eV/atom. Its space-group type is Imm2, No. 44.

## LiBeCo2 (PBE)

Data for a geometry-optimized LiBeCo2 structure.

abc: 4.5905 4.5905 4.5905
angles: 147.21 129.76 61.31
Closest atoms and distances in Å follow each position.
Atoms (fractional coordinates):
Li  0.0000  0.0000  0.0000  6 Co 2.34-2.46, 2 Be 2.37, 2 Li 2.59
Be  0.2506  0.7506  0.5000  6 Co 2.25-2.34, 2 Li 2.37
Co  0.4832  0.4832  0.0000  2 Be 2.25, 4 Li 2.34, 2 Co 2.37
Co  0.7349  0.2349  0.5000  4 Be 2.34, 4 Co 2.37-2.59, 2 Li 2.46

The calculation puts the calculated formation energy at 0.3 eV/f.u. As for the calculated density: 5.6 Mg/m³. As for the total magnetization: 2.25 μB/f.u. For the final energy, the calculation gives -4.88 eV/atom. Its space-group type is Imm2, No. 44.

## LiBeCo3 (PBE)

Data for a geometry-optimized LiBeCo3 structure.

abc: 3.8345 3.8345 3.8345
angles: 90.00 90.00 90.00
Closest atoms and distances in Å follow each position.
Atoms (fractional coordinates):
Li  0.0000  0.0000  0.0000  6 Co 1.92
Be  0.5000  0.5000  0.5000  12 Co 2.71
Co  0.0000  0.0000  0.5000  2 Li 1.92
Co  0.0000  0.5000  0.0000  2 Li 1.92
Co  0.5000  0.0000  0.0000  2 Li 1.92

The calculation puts the calculated formation energy at 5.4 eV/f.u. As for the calculated density: 5.7 Mg/m³. As for the total magnetization: 3.94 μB/f.u. For the final energy, the calculation gives -4.31 eV/atom. Its space-group type is Pm-3m, No. 221.

## LiBeCo2 (PBE)

Data for a geometry-optimized LiBeCo2 structure.

abc: 2.5720 2.5720 6.4275
angles: 90.00 90.00 90.00
Closest atoms and distances in Å follow each position.
Atoms (fractional coordinates):
Li  0.0000  0.0000  0.0000  4 Be 2.54, 4 Li 2.57, 4 Co 2.61
Be  0.5000  0.5000  0.2767  4 Co 2.19
Co  0.0000  0.0000  0.4654  4 Be 2.19, 4 Co 2.40
Co  0.5000  0.5000  0.7097  8 Co 2.40-2.57, 4 Li 2.61

The calculation puts the calculated formation energy at 0.2 eV/f.u. As for the calculated density: 5.2 Mg/m³. As for the total magnetization: 1.87 μB/f.u. For the final energy, the calculation gives -4.92 eV/atom. Its space-group type is P4mm, No. 99.

## LiBeCo2 (PBE)

Data for a geometry-optimized LiBeCo2 structure.

abc: 2.3804 2.3804 7.7779
angles: 90.00 90.00 110.36
Closest atoms and distances in Å follow each position.
Atoms (fractional coordinates):
Li  0.0000  0.0000  0.0000  4 Li 2.38, 4 Co 2.54
Be  0.0000  0.0000  0.5000  4 Co 2.21, 4 Be 2.38
Co  0.5000  0.5000  0.2759  2 Be 2.21, 4 Co 2.38
Co  0.5000  0.5000  0.7241  2 Be 2.21, 4 Co 2.38

The calculation puts the calculated formation energy at 0.1 eV/f.u. As for the calculated density: 5.4 Mg/m³. As for the total magnetization: 2.07 μB/f.u. For the final energy, the calculation gives -4.93 eV/atom. Its space-group type is Cmmm, No. 65.

## LiBeCo2 (PBE)

Data for a geometry-optimized LiBeCo2 structure.

abc: 4.2549 4.2549 4.2549
angles: 132.74 132.74 69.06
Closest atoms and distances in Å follow each position.
Atoms (fractional coordinates):
Li  0.0000  0.0000  0.0000  4 Be 2.41, 8 Co 2.45
Be  0.5000  0.5000  0.0000  4 Li 2.41, 8 Co 2.45
Co  0.2500  0.7500  0.5000  4 Co 2.41, 4 Be 2.45, 4 Li 2.45
Co  0.7500  0.2500  0.5000  4 Co 2.41, 4 Li 2.45, 4 Be 2.45

The calculation puts the calculated formation energy at 0.5 eV/f.u. As for the calculated density: 5.4 Mg/m³. As for the total magnetization: 2.70 μB/f.u. For the final energy, the calculation gives -4.84 eV/atom. Its space-group type is I4/mmm, No. 139.

## LiBeCo4 (PBE)

Data for a geometry-optimized LiBeCo4 structure.

abc: 4.6438 4.6438 4.6438
angles: 60.00 60.00 60.00
Closest atoms and distances in Å follow each position.
Atoms (fractional coordinates):
Li  0.0000  0.0000  0.0000  12 Co 2.72, 4 Be 2.84
Be  0.2500  0.2500  0.2500  12 Co 2.72, 4 Li 2.84
Co  0.1259  0.6247  0.6247  6 Co 2.32-2.33
Co  0.6247  0.1259  0.6247  6 Co 2.32-2.33
Co  0.6247  0.6247  0.1259  6 Co 2.32-2.33
Co  0.6247  0.6247  0.6247  6 Co 2.32-2.33

The calculation puts the calculated formation energy at 1.5 eV/f.u. As for the calculated density: 5.9 Mg/m³. As for the total magnetization: 5.92 μB/f.u. For the final energy, the calculation gives -5.43 eV/atom. Its space-group type is F-43m, No. 216.

## LiBeCo3 (PBE)

Data for a geometry-optimized LiBeCo3 structure.

abc: 3.9193 3.9193 3.9193
angles: 90.00 90.00 90.00
Closest atoms and distances in Å follow each position.
Atoms (fractional coordinates):
Li  0.0000  0.0000  0.0000  12 Co 2.77
Be  0.5000  0.5000  0.5000  6 Co 1.96
Co  0.0000  0.5000  0.5000  2 Be 1.96
Co  0.5000  0.0000  0.5000  2 Be 1.96
Co  0.5000  0.5000  0.0000  2 Be 1.96

The calculation puts the calculated formation energy at 2.7 eV/f.u. As for the calculated density: 5.3 Mg/m³. As for the total magnetization: 3.88 μB/f.u. For the final energy, the calculation gives -4.86 eV/atom. Its space-group type is Pm-3m, No. 221.

## LiBe2Co (PBE)

Data for a geometry-optimized LiBe2Co structure.

abc: 4.0048 4.0048 4.5834
angles: 94.61 94.61 33.11
Closest atoms and distances in Å follow each position.
Atoms (fractional coordinates):
Li  0.0000  0.0000  0.0000  2 Li 2.28, 2 Be 2.37
Be  0.2414  0.2414  0.7089  4 Be 2.24-2.28, 3 Co 2.28-2.31, 1 Li 2.37
Be  0.7586  0.7586  0.2911  4 Be 2.24-2.28, 3 Co 2.28-2.31, 1 Li 2.37
Co  0.5000  0.5000  0.5000  6 Be 2.28-2.31, 2 Co 2.28

The calculation puts the calculated formation energy at 0.3 eV/f.u. As for the calculated density: 3.5 Mg/m³. As for the total magnetization: 0.90 μB/f.u. For the final energy, the calculation gives -4.05 eV/atom. Its space-group type is C2/m, No. 12.

## Li2BeCo (PBE)

Data for a geometry-optimized Li2BeCo structure.

abc: 4.1789 4.1789 4.7558
angles: 96.40 96.40 33.49
Closest atoms and distances in Å follow each position.
Atoms (fractional coordinates):
Li  0.0000  0.0000  0.0000  5 Li 2.35-2.56, 2 Be 2.45, 1 Co 2.53
Li  0.2401  0.2401  0.7571  5 Li 2.35-2.56, 2 Co 2.52, 2 Be 2.62
Be  0.4929  0.4929  0.4469  3 Co 2.29-2.31, 2 Be 2.41, 2 Li 2.45
Co  0.7567  0.7567  0.2966  3 Be 2.29-2.31, 2 Co 2.41, 3 Li 2.52-2.53

The calculation puts the calculated formation energy at 0.6 eV/f.u. As for the calculated density: 3.0 Mg/m³. As for the total magnetization: 0.97 μB/f.u. For the final energy, the calculation gives -3.51 eV/atom. Its space-group type is Cm, No. 8.

## Li4BeCo (PBE)

Data for a geometry-optimized Li4BeCo structure.

abc: 4.7064 4.7064 4.7064
angles: 60.00 60.00 60.00
Closest atoms and distances in Å follow each position.
Atoms (fractional coordinates):
Li  0.1254  0.1254  0.1254  6 Li 2.35-2.36
Li  0.1254  0.1254  0.6237  6 Li 2.35-2.36
Li  0.1254  0.6237  0.1254  6 Li 2.35-2.36
Li  0.6237  0.1254  0.1254  6 Li 2.35-2.36
Be  0.7500  0.7500  0.7500  12 Li 2.76, 4 Co 2.88
Co  0.5000  0.5000  0.5000  12 Li 2.76, 4 Be 2.88

The calculation puts the calculated formation energy at 2.8 eV/f.u. As for the calculated density: 2.2 Mg/m³. As for the total magnetization: 0.75 μB/f.u. For the final energy, the calculation gives -2.62 eV/atom. Its space-group type is F-43m, No. 216.